[1]
The following is a PBE calculation of a relaxed structure of CeNp2S5, from the Alexandria database.

- total DFT energy (no corrections) (eV/atom) = -8.123
- density (g/cm3) = 7.477
- uncorrected formation energy (meV per atom) = -1566

Cell lengths 11.7231, 7.9552, 7.3768 Å; angles 90.00, 90.00, 90.00 degrees
Space group Pnma (No. 62)
One atom of each set of equivalent atoms:
Ce1 0.0094 0.2500 0.0803
Np1 0.1795 0.0021 0.5153
S1 0.0006 0.7500 0.5322
S2 0.1033 0.5470 0.1633
S3 0.1892 0.2500 0.8239
S4 0.2208 0.7500 0.7931


[2]
The following is a PBE calculation of a relaxed structure of Ce4NpS10, from the Alexandria database.

- total DFT energy (no corrections) (eV/atom) = -6.869
- density (g/cm3) = 5.320
- uncorrected formation energy (meV per atom) = -1672

Cell lengths 10.3330, 10.3330, 6.5368 Å; angles 90.00, 90.00, 90.00 degrees
Space group I4/m (No. 87)
One atom of each set of equivalent atoms:
Ce1 0.0999 0.7005 0.0000
Np1 0.0000 0.0000 0.5000
S1 0.0000 0.5000 0.2500
S2 0.0991 0.1969 0.2537


[3]
The following is a PBE calculation of a relaxed structure of CeNp4S8, from the Alexandria database.

- total DFT energy (no corrections) (eV/atom) = -8.370
- density (g/cm3) = 6.128
- uncorrected formation energy (meV per atom) = -1392

Cell lengths 8.0107, 8.0107, 19.6703 Å; angles 90.00, 90.00, 120.00 degrees
Space group R-3m (No. 166, hexagonal axes)
One atom of each set of equivalent atoms:
Ce1 0.0000 0.0000 0.0000
Np1 0.0000 0.0000 0.5000
Np2 0.0000 0.5000 0.5000
S1 0.0000 0.0000 0.2360
S2 0.0082 0.5041 0.7566


[4]
The following is a PBE calculation of a relaxed structure of Ce5NpS6, from the Alexandria database.

- total DFT energy (no corrections) (eV/atom) = -7.547
- density (g/cm3) = 6.926
- uncorrected formation energy (meV per atom) = -1932

Cell lengths 6.9231, 11.9889, 6.9245 Å; angles 90.00, 109.48, 90.00 degrees
Space group C2/m (No. 12)
One atom of each set of equivalent atoms:
Ce1 0.0000 0.0000 0.0000
Ce2 0.0000 0.1665 0.5000
Ce3 0.0000 0.3316 0.0000
Np1 0.0000 0.5000 0.5000
S1 0.2453 0.5000 0.2519
S2 0.2461 0.3359 0.7462